Entry from Alexandria via LeMat-Bulk: a relaxed structure of Pr2SmTm3 (GGA-PBE).

Total moment in μB per cell: 0.00
DFT formation energy in eV per atom: 0.13
Polymorph energy (0 for the lowest one) in kJ per mole of atoms: 0.4
Calculated total energy in eV/cell: -53.88
Crystal system: monoclinic

Structure (POSCAR):
```
Pr2SmTm3
1.0
11.725 -1.749 0.000
11.725 1.749 0.000
-3.274 0.000 9.739
Pr Sm Tm
4 2 6
direct
0.068 0.068 0.133
0.311 0.311 0.627
0.689 0.689 0.373
0.932 0.932 0.867
0.311 0.311 0.964
0.689 0.689 0.036
0.070 0.070 0.758
0.306 0.306 0.286
0.442 0.442 0.555
0.558 0.558 0.445
0.694 0.694 0.714
0.930 0.930 0.242
```

Entry from Alexandria via LeMat-Bulk: a relaxed structure of Pr2Sm3Tm (GGA-PBE).

Total moment in μB per cell: 0.00
DFT formation energy in eV per atom: 0.06
Polymorph energy (0 for the lowest one) in kJ per mole of atoms: 0.0
Calculated total energy in eV/cell: -55.63
Crystal system: monoclinic

Structure (POSCAR):
```
Pr2Sm3Tm
1.0
4.555 -4.985 0.000
4.555 4.985 0.000
-1.838 0.000 8.936
Pr Sm Tm
4 6 2
direct
0.121 0.628 0.876
0.372 0.879 0.624
0.628 0.121 0.376
0.879 0.372 0.124
0.168 0.335 0.500
0.335 0.168 0.000
0.415 0.585 0.250
0.585 0.415 0.750
0.665 0.832 0.000
0.832 0.665 0.500
0.083 0.917 0.250
0.917 0.083 0.750
```

Entry from Alexandria via LeMat-Bulk: a relaxed structure of Pr5Sm5Tm (GGA-PBE).

Total moment in μB per cell: 0.00
DFT formation energy in eV per atom: 0.24
Calculated total energy in eV/cell: -49.32
Crystal system: monoclinic

Structure (POSCAR):
```
Pr5Sm5Tm
1.0
9.597 -3.068 0.000
9.597 3.068 0.000
-2.584 0.000 6.588
Pr Sm Tm
5 5 1
direct
0.000 0.000 0.000
0.326 0.326 0.070
0.326 0.326 0.582
0.674 0.674 0.418
0.674 0.674 0.930
0.124 0.124 0.626
0.169 0.169 0.171
0.500 0.500 0.500
0.831 0.831 0.829
0.876 0.876 0.374
0.500 0.500 0.000
```

Entry from Alexandria via LeMat-Bulk: a relaxed structure of PrSm5Tm (GGA-PBE).

Total moment in μB per cell: 0.00
DFT formation energy in eV per atom: 0.10
Polymorph energy (0 for the lowest one) in kJ per mole of atoms: 0.0
Calculated total energy in eV/cell: -64.24
Crystal system: monoclinic

Structure (POSCAR):
```
PrSm5Tm
1.0
4.380 -4.929 0.000
4.380 4.929 0.000
-3.990 0.000 11.008
Pr Sm Tm
2 10 2
direct
0.247 0.753 0.750
0.753 0.247 0.250
0.052 0.187 0.662
0.187 0.052 0.162
0.231 0.429 0.464
0.404 0.596 0.250
0.429 0.231 0.964
0.571 0.769 0.036
0.596 0.404 0.750
0.769 0.571 0.536
0.813 0.948 0.838
0.948 0.813 0.338
0.000 0.500 0.000
0.500 0.000 0.500
```

Entry from Alexandria via LeMat-Bulk: a relaxed structure of PrSm6Tm4 (GGA-PBE).

Total moment in μB per cell: 0.00
DFT formation energy in eV per atom: 0.16
Polymorph energy (0 for the lowest one) in kJ per mole of atoms: 4.2
Calculated total energy in eV/cell: -49.24
Crystal system: hexagonal

Structure (POSCAR):
```
PrSm6Tm4
1.0
11.026 0.000 0.000
-5.513 9.549 0.000
0.000 0.000 3.557
Pr Sm Tm
1 6 4
direct
0.000 0.000 0.000
0.183 0.366 0.500
0.183 0.817 0.500
0.520 0.039 0.000
0.520 0.480 0.000
0.634 0.817 0.500
0.961 0.480 0.000
0.327 0.164 0.500
0.333 0.667 0.000
0.836 0.164 0.500
0.836 0.673 0.500
```

Entry from Alexandria via LeMat-Bulk: a relaxed structure of Pr3Sm2Tm7 (GGA-PBE).

Total moment in μB per cell: 0.00
DFT formation energy in eV per atom: 0.09
Polymorph energy (0 for the lowest one) in kJ per mole of atoms: 0.0
Calculated total energy in eV/cell: -54.01
Crystal system: monoclinic

Structure (POSCAR):
```
Pr3Sm2Tm7
1.0
5.808 0.000 0.000
0.000 3.575 0.000
-1.031 0.000 18.792
Pr Sm Tm
3 2 7
direct
0.000 0.000 0.000
0.275 0.500 0.632
0.725 0.500 0.368
0.212 0.000 0.291
0.788 0.000 0.709
0.192 0.500 0.142
0.243 0.000 0.461
0.305 0.000 0.828
0.500 0.500 0.000
0.695 0.000 0.172
0.757 0.000 0.539
0.808 0.500 0.858
```

Entry from Alexandria via LeMat-Bulk: a relaxed structure of Pr5Sm2Tm5 (GGA-PBE).

Total moment in μB per cell: 0.00
DFT formation energy in eV per atom: 0.02
Calculated total energy in eV/cell: -55.44
Crystal system: monoclinic

Structure (POSCAR):
```
Pr5Sm2Tm5
1.0
7.653 -2.538 0.000
7.653 2.538 0.000
-5.142 0.000 10.234
Pr Sm Tm
5 2 5
direct
0.000 0.000 0.000
0.164 0.164 0.498
0.249 0.249 0.247
0.751 0.751 0.753
0.836 0.836 0.502
0.083 0.083 0.753
0.917 0.917 0.247
0.333 0.333 0.000
0.418 0.418 0.752
0.500 0.500 0.500
0.582 0.582 0.248
0.667 0.667 0.000
```

Entry from Alexandria via LeMat-Bulk: a relaxed structure of Pr3Sm7Tm2 (GGA-PBE).

Total moment in μB per cell: 0.00
DFT formation energy in eV per atom: 0.09
Polymorph energy (0 for the lowest one) in kJ per mole of atoms: 0.0
Calculated total energy in eV/cell: -55.25
Crystal system: monoclinic

Structure (POSCAR):
```
Pr3Sm7Tm2
1.0
5.930 0.000 0.000
0.000 3.615 0.000
-1.003 0.000 19.089
Pr Sm Tm
3 7 2
direct
0.000 0.000 0.000
0.280 0.500 0.634
0.720 0.500 0.366
0.189 0.500 0.146
0.243 0.000 0.464
0.310 0.000 0.820
0.500 0.500 0.000
0.690 0.000 0.180
0.757 0.000 0.536
0.811 0.500 0.854
0.211 0.000 0.295
0.789 0.000 0.705
```

Entry from Alexandria via LeMat-Bulk: a relaxed structure of Pr4Sm6Tm (GGA-PBE).

Total moment in μB per cell: 0.00
DFT formation energy in eV per atom: 0.39
Polymorph energy (0 for the lowest one) in kJ per mole of atoms: 11.2
Calculated total energy in eV/cell: -47.57
Crystal system: tetragonal

Structure (POSCAR):
```
Pr4Sm6Tm
1.0
-3.832 3.832 6.803
3.832 -3.832 6.803
3.832 3.832 -6.803
Pr Sm Tm
4 6 1
direct
0.245 0.245 0.649
0.404 0.755 0.000
0.596 0.596 0.351
0.755 0.404 0.000
0.000 0.500 0.500
0.040 0.588 0.000
0.412 0.412 0.452
0.500 0.000 0.500
0.588 0.040 0.000
0.960 0.960 0.548
0.000 0.000 0.000
```

Entry from Alexandria via LeMat-Bulk: a relaxed structure of Pr3Sm2Tm4 (GGA-PBE).

Total moment in μB per cell: 0.00
DFT formation energy in eV per atom: 0.10
Polymorph energy (0 for the lowest one) in kJ per mole of atoms: 0.9
Calculated total energy in eV/cell: -81.56
Crystal system: monoclinic

Structure (POSCAR):
```
Pr3Sm2Tm4
1.0
8.193 -5.891 0.000
8.193 5.891 0.000
-0.805 0.000 6.110
Pr Sm Tm
6 4 8
direct
0.130 0.870 0.750
0.194 0.481 0.908
0.481 0.194 0.408
0.519 0.806 0.592
0.806 0.519 0.092
0.870 0.130 0.250
0.017 0.758 0.212
0.242 0.983 0.288
0.758 0.017 0.712
0.983 0.242 0.788
0.114 0.347 0.362
0.327 0.558 0.460
0.347 0.114 0.862
0.442 0.673 0.040
0.558 0.327 0.960
0.653 0.886 0.138
0.673 0.442 0.540
0.886 0.653 0.638
```

Entry from Alexandria via LeMat-Bulk: a relaxed structure of PrSm4Tm (GGA-PBE).

Total moment in μB per cell: 0.00
DFT formation energy in eV per atom: 0.19
Polymorph energy (0 for the lowest one) in kJ per mole of atoms: 16.3
Calculated total energy in eV/cell: -27.01
Crystal system: monoclinic

Structure (POSCAR):
```
PrSm4Tm
1.0
5.891 -1.737 0.000
5.891 1.737 0.000
-5.770 0.000 10.091
Pr Sm Tm
1 4 1
direct
0.000 0.000 0.000
0.187 0.187 0.841
0.193 0.193 0.348
0.807 0.807 0.652
0.813 0.813 0.159
0.000 0.000 0.500
```

Entry from Alexandria via LeMat-Bulk: a relaxed structure of Pr3Sm2Tm (GGA-PBE).

Total moment in μB per cell: 0.00
DFT formation energy in eV per atom: 0.11
Polymorph energy (0 for the lowest one) in kJ per mole of atoms: 0.0
Calculated total energy in eV/cell: -55.19
Crystal system: monoclinic

Structure (POSCAR):
```
Pr3Sm2Tm
1.0
6.717 -1.791 0.000
6.717 1.791 0.000
-3.821 0.000 17.457
Pr Sm Tm
6 4 2
direct
0.064 0.064 0.169
0.267 0.267 0.663
0.374 0.374 0.009
0.626 0.626 0.991
0.733 0.733 0.337
0.936 0.936 0.831
0.198 0.198 0.835
0.370 0.370 0.501
0.630 0.630 0.499
0.802 0.802 0.165
0.458 0.458 0.319
0.542 0.542 0.681
```

Entry from Alexandria via LeMat-Bulk: a relaxed structure of Pr2Sm3Tm (GGA-PBE).

Total moment in μB per cell: 0.00
DFT formation energy in eV per atom: 0.25
Polymorph energy (0 for the lowest one) in kJ per mole of atoms: 18.1
Calculated total energy in eV/cell: -53.38
Crystal system: orthorhombic

Structure (POSCAR):
```
Pr2Sm3Tm
1.0
6.788 0.000 0.000
0.000 17.862 0.000
0.000 0.000 3.419
Pr Sm Tm
4 6 2
direct
0.238 0.151 0.000
0.262 0.651 0.500
0.738 0.349 0.500
0.762 0.849 0.000
0.000 0.000 0.500
0.244 0.323 0.500
0.256 0.823 0.000
0.500 0.500 0.000
0.744 0.177 0.000
0.756 0.677 0.500
0.000 0.500 0.500
0.500 0.000 0.000
```

Entry from Alexandria via LeMat-Bulk: a relaxed structure of Pr4Sm2Tm3 (GGA-PBE).

Total moment in μB per cell: 0.00
DFT formation energy in eV per atom: 0.08
Polymorph energy (0 for the lowest one) in kJ per mole of atoms: 6.1
Calculated total energy in eV/cell: -82.44
Crystal system: monoclinic

Structure (POSCAR):
```
Pr4Sm2Tm3
1.0
8.191 -5.926 0.000
8.191 5.926 0.000
-0.684 0.000 6.210
Pr Sm Tm
8 4 6
direct
0.093 0.810 0.986
0.144 0.427 0.153
0.190 0.907 0.514
0.427 0.144 0.653
0.573 0.856 0.347
0.810 0.093 0.486
0.856 0.573 0.847
0.907 0.190 0.014
0.244 0.521 0.680
0.479 0.756 0.820
0.521 0.244 0.180
0.756 0.479 0.320
0.065 0.269 0.580
0.269 0.065 0.080
0.399 0.601 0.250
0.601 0.399 0.750
0.731 0.935 0.920
0.935 0.731 0.420
```

Entry from Alexandria via LeMat-Bulk: a relaxed structure of Pr2SmTm12 (GGA-PBE).

Total moment in μB per cell: 0.00
DFT formation energy in eV per atom: 0.11
Calculated total energy in eV/cell: -66.22
Crystal system: monoclinic

Structure (POSCAR):
```
Pr2SmTm12
1.0
3.521 0.000 0.000
0.000 5.549 0.000
-1.741 0.000 24.215
Pr Sm Tm
2 1 12
direct
0.133 0.000 0.273
0.867 0.000 0.727
0.500 0.000 0.000
0.035 0.500 0.075
0.223 0.500 0.446
0.285 0.000 0.570
0.337 0.500 0.667
0.403 0.500 0.799
0.434 0.000 0.864
0.566 0.000 0.136
0.597 0.500 0.201
0.663 0.500 0.333
0.715 0.000 0.430
0.777 0.500 0.554
0.965 0.500 0.925
```

Entry from Alexandria via LeMat-Bulk: a relaxed structure of Pr6SmTm3 (GGA-PBE).

Total moment in μB per cell: 0.00
DFT formation energy in eV per atom: 0.20
Polymorph energy (0 for the lowest one) in kJ per mole of atoms: 0.0
Calculated total energy in eV/cell: -89.56
Crystal system: monoclinic

Structure (POSCAR):
```
Pr6SmTm3
1.0
6.228 0.000 0.000
0.000 9.458 0.000
-6.112 0.000 11.765
Pr Sm Tm
12 2 6
direct
0.075 0.152 0.081
0.075 0.348 0.581
0.380 0.033 0.750
0.380 0.467 0.250
0.415 0.157 0.420
0.415 0.343 0.920
0.585 0.657 0.080
0.585 0.843 0.580
0.620 0.533 0.750
0.620 0.967 0.250
0.925 0.652 0.419
0.925 0.848 0.919
0.000 0.000 0.500
0.000 0.500 0.000
0.137 0.678 0.750
0.137 0.822 0.250
0.500 0.000 0.000
0.500 0.500 0.500
0.863 0.178 0.750
0.863 0.322 0.250
```

Entry from Alexandria via LeMat-Bulk: a relaxed structure of Pr3SmTm5 (GGA-PBE).

Total moment in μB per cell: 0.00
DFT formation energy in eV per atom: 0.52
Calculated total energy in eV/cell: -73.41
Crystal system: monoclinic

Structure (POSCAR):
```
Pr3SmTm5
1.0
7.719 -5.578 0.000
7.719 5.578 0.000
-6.574 0.000 7.668
Pr Sm Tm
6 2 10
direct
0.000 0.000 0.000
0.010 0.010 0.715
0.471 0.471 0.811
0.500 0.500 0.500
0.529 0.529 0.189
0.990 0.990 0.285
0.253 0.253 0.406
0.747 0.747 0.594
0.091 0.587 0.935
0.212 0.212 0.702
0.240 0.760 0.500
0.279 0.279 0.090
0.413 0.909 0.065
0.587 0.091 0.935
0.721 0.721 0.910
0.760 0.240 0.500
0.788 0.788 0.298
0.909 0.413 0.065
```

Entry from Alexandria via LeMat-Bulk: a relaxed structure of PrSmTm (GGA-PBE).

Total moment in μB per cell: 0.00
DFT formation energy in eV per atom: 0.02
Polymorph energy (0 for the lowest one) in kJ per mole of atoms: 0.0
Calculated total energy in eV/cell: -27.80
Crystal system: triclinic

Structure (POSCAR):
```
PrSmTm
1.0
3.616 0.000 0.000
1.793 5.990 0.000
1.805 1.634 9.216
Pr Sm Tm
2 2 2
direct
0.001 0.246 0.253
0.999 0.754 0.747
0.333 0.750 0.088
0.667 0.250 0.912
0.331 0.255 0.580
0.669 0.745 0.420
```